A relaxed structure of Sm2GeP3Pd4. Source: the Alexandria database, functional PBE.

extended XYZ file:
```
10
Lattice="4.175 0.000 0.000 0.000 4.175 0.000 0.000 0.000 10.232" Properties=species:S:1:pos:R:3 pbc="T T T"
Sm 0.000 2.088 2.478
Sm 2.088 0.000 7.754
Ge 0.000 0.000 5.116
P 0.000 2.088 8.859
P 2.088 0.000 1.373
P 2.088 2.088 5.116
Pd 0.000 0.000 0.000
Pd 0.000 2.088 6.503
Pd 2.088 0.000 3.729
Pd 2.088 2.088 0.000
```

Properties
Formation energy, eV/atom: -0.90
Calculated volume, Å³/cell: 178
E_tot, eV per cell: -60.01